Material: Co3TeIr
Method: DFT, PBEsol
State: optimized geometry

Cell: 4.5108 4.5108 4.5108 Å, 90.00 90.00 90.00°
Last column: nearest neighbours and their distance in Å.
Sites, in units of the cell vectors:
Co  0.0000  0.0000  0.5000  2 Ir 2.26
Co  0.0000  0.5000  0.0000  2 Ir 2.26
Co  0.5000  0.0000  0.0000  2 Ir 2.26
Te  0.5000  0.5000  0.5000  12 Co 3.19
Ir  0.0000  0.0000  0.0000  6 Co 2.26

Properties
The space-group type is Pm-3m (221). The formation energy (no corrections) is 1.290 eV/atom.